This record from the Alexandria database describes TaSnBiRu after structural relaxation. The functional is GGA-PBE.

a = 4.200 Å, b = 3.779 Å, c = 10.803 Å
α = 90.00°, β = 90.00°, γ = 90.00°
Space group Amm2 (No. 38)
One atom of each set of equivalent atoms:
Ta1 0.000 0.000 0.000 (multiplicity 2)
Sn1 0.000 0.000 0.286 (multiplicity 2)
Bi1 0.500 0.000 0.598 (multiplicity 2)
Ru1 0.500 0.000 0.865 (multiplicity 2)

Computed properties:
The energy of formation is 0.2118 eV per atom. The crystal system is orthorhombic. The value obtained for the energy relative to the lowest polymorph listed for this composition is 256 meV/atom.

=====

This record from the Alexandria database describes LuTaNb4 after structural relaxation. The functional is GGA-PBE.

a = 7.834 Å, b = 7.834 Å, c = 7.834 Å
α = 90.00°, β = 90.00°, γ = 90.00°
Space group F-43m (No. 216)
One atom of each set of equivalent atoms:
Lu1 0.000 0.000 0.000 (multiplicity 4)
Ta1 0.250 0.250 0.250 (multiplicity 4)
Nb1 0.125 0.125 0.625 (multiplicity 16)

Computed properties:
The energy of formation is 0.1881 eV per atom. The crystal system is cubic.

=====

This record from the Alexandria database describes MnCr2InBi after structural relaxation. The functional is GGA-PBE.

a = 4.648 Å, b = 4.648 Å, c = 5.009 Å
α = 90.00°, β = 90.00°, γ = 90.00°
Space group P4/mmm (No. 123)
One atom of each set of equivalent atoms:
Mn1 0.000 0.000 0.000 (multiplicity 1)
Cr1 0.000 0.500 0.000 (multiplicity 2)
In1 0.000 0.000 0.500 (multiplicity 1)
Bi1 0.500 0.500 0.500 (multiplicity 1)

Computed properties:
The energy of formation is 0.7450 eV per atom. The crystal system is tetragonal.

=====

This record from the Alexandria database describes IrRhAuI after structural relaxation. The functional is GGA-PBE.

a = 7.310 Å, b = 2.946 Å, c = 8.199 Å
α = 90.00°, β = 108.46°, γ = 90.00°
Space group Cm (No. 8)
One atom of each set of equivalent atoms:
Ir1 0.000 0.000 0.000 (multiplicity 2)
Rh1 0.152 0.500 0.821 (multiplicity 2)
Au1 0.371 0.000 0.225 (multiplicity 2)
I1 0.304 0.000 0.572 (multiplicity 2)

Computed properties:
The crystal system is monoclinic. The value obtained for the energy relative to the lowest polymorph listed for this composition is 107 meV/atom. The calculation puts the raw formation energy at 0.585 eV per atom.

=====

This record from the Alexandria database describes TlGaS3 after structural relaxation. The functional is GGA-PBE.

a = 5.163 Å, b = 5.163 Å, c = 5.163 Å
α = 90.00°, β = 90.00°, γ = 90.00°
Space group Pm-3m (No. 221)
One atom of each set of equivalent atoms:
Tl1 0.000 0.000 0.000 (multiplicity 1)
Ga1 0.500 0.500 0.500 (multiplicity 1)
S1 0.000 0.000 0.500 (multiplicity 3)

Computed properties:
The crystal system is cubic. The calculation puts the raw formation energy at 0.591 eV per atom.

=====

This record from the Alexandria database describes Pm4PrDy4 after structural relaxation. The functional is GGA-PBE.

a = 10.836 Å, b = 10.836 Å, c = 5.088 Å
α = 90.00°, β = 90.00°, γ = 90.00°
Space group I4/mmm (No. 139)
One atom of each set of equivalent atoms:
Pm1 0.000 0.332 0.000 (multiplicity 8)
Pr1 0.000 0.000 0.000 (multiplicity 2)
Dy1 0.167 0.167 0.500 (multiplicity 8)

Computed properties:
The energy of formation is 0.0159 eV per atom. The crystal system is tetragonal.

=====

This record from the Alexandria database describes Ga3GeIr after structural relaxation. The functional is GGA-PBE.

a = 4.749 Å, b = 4.749 Å, c = 4.749 Å
α = 90.00°, β = 90.00°, γ = 90.00°
Space group Pm-3m (No. 221)
One atom of each set of equivalent atoms:
Ga1 0.000 0.000 0.500 (multiplicity 3)
Ge1 0.000 0.000 0.000 (multiplicity 1)
Ir1 0.500 0.500 0.500 (multiplicity 1)

Computed properties:
The energy of formation is 0.9758 eV per atom. The crystal system is cubic. The value obtained for the energy relative to the lowest polymorph listed for this composition is 953 meV/atom.

=====

This record from the Alexandria database describes Ba2LaCeBi4 after structural relaxation. The functional is GGA-PBE.

a = 8.358 Å, b = 4.819 Å, c = 8.518 Å
α = 90.00°, β = 109.11°, γ = 90.00°
Space group P2/m (No. 10)
One atom of each set of equivalent atoms:
Ba1 0.000 0.000 0.000 (multiplicity 1)
Ba2 0.500 0.500 0.000 (multiplicity 1)
La1 0.000 0.500 0.500 (multiplicity 1)
Ce1 0.500 0.000 0.500 (multiplicity 1)
Bi1 0.248 0.000 0.718 (multiplicity 2)
Bi2 0.270 0.500 0.287 (multiplicity 2)

Computed properties:
The energy of formation is -0.8423 eV per atom. The crystal system is monoclinic.

=====

This record from the Alexandria database describes KBaCa2 after structural relaxation. The functional is GGA-PBE.

a = 14.040 Å, b = 4.082 Å, c = 7.369 Å
α = 90.00°, β = 98.11°, γ = 90.00°
Space group C2/m (No. 12)
One atom of each set of equivalent atoms:
K1 0.000 0.000 0.000 (multiplicity 2)
Ba1 0.000 0.500 0.500 (multiplicity 2)
Ca1 0.249 0.000 0.741 (multiplicity 4)

Computed properties:
The energy of formation is 0.1393 eV per atom. The crystal system is monoclinic. The value obtained for the energy relative to the lowest polymorph listed for this composition is 48 meV/atom.

=====

This record from the Alexandria database describes La2CeSc after structural relaxation. The functional is GGA-PBE.

a = 3.553 Å, b = 3.553 Å, c = 9.780 Å
α = 90.00°, β = 90.00°, γ = 90.00°
Space group P4/mmm (No. 123)
One atom of each set of equivalent atoms:
La1 0.000 0.000 0.248 (multiplicity 2)
Ce1 0.500 0.500 0.500 (multiplicity 1)
Sc1 0.500 0.500 0.000 (multiplicity 1)

Computed properties:
The energy of formation is 0.0877 eV per atom. The crystal system is tetragonal. The value obtained for the energy relative to the lowest polymorph listed for this composition is 0 meV/atom.

=====

This record from the Alexandria database describes Zr2Sc2Sb2H after structural relaxation. The functional is GGA-PBE.

a = 4.229 Å, b = 4.229 Å, c = 15.725 Å
α = 90.00°, β = 90.00°, γ = 90.00°
Space group I4/mmm (No. 139)
One atom of each set of equivalent atoms:
Zr1 0.000 0.500 0.000 (multiplicity 4)
Sc1 0.000 0.000 0.173 (multiplicity 4)
Sb1 0.000 0.000 0.359 (multiplicity 4)
H1 0.000 0.000 0.000 (multiplicity 2)

Computed properties:
The calculation puts the total energy at -6.6523 eV/atom. The crystal system is tetragonal.

=====

This record from the Alexandria database describes Cs2Cd4Hg3Au after structural relaxation. The functional is GGA-PBE.

a = 5.196 Å, b = 5.196 Å, c = 12.098 Å
α = 90.00°, β = 90.00°, γ = 90.00°
Space group P-4m2 (No. 115)
One atom of each set of equivalent atoms:
Cs1 0.000 0.500 0.238 (multiplicity 2)
Cd1 0.000 0.000 0.500 (multiplicity 1)
Cd2 0.000 0.500 0.885 (multiplicity 2)
Cd3 0.500 0.500 0.500 (multiplicity 1)
Hg1 0.000 0.000 0.000 (multiplicity 1)
Hg2 0.000 0.500 0.635 (multiplicity 2)
Au1 0.500 0.500 0.000 (multiplicity 1)

Computed properties:
The energy of formation is -0.1447 eV per atom. The crystal system is tetragonal.

=====

This record from the Alexandria database describes MgPaAgRh after structural relaxation. The functional is GGA-PBE.

a = 6.843 Å, b = 6.843 Å, c = 6.843 Å
α = 90.00°, β = 90.00°, γ = 90.00°
Space group F-43m (No. 216)
One atom of each set of equivalent atoms:
Mg1 0.000 0.000 0.000 (multiplicity 4)
Pa1 0.000 0.000 0.500 (multiplicity 4)
Ag1 0.250 0.250 0.250 (multiplicity 4)
Rh1 0.250 0.250 0.750 (multiplicity 4)

Computed properties:
The energy of formation is -0.2140 eV per atom. The crystal system is cubic.

=====

no.,total moment (μB per cell)
1,0.000
2,0.001
3,4.631
4,0.000
5,0.000
6,0.000
7,0.000
8,0.000
9,0.001
10,0.287
11,0.000
12,0.000
13,0.000